Entry 1:
# KSr2BeTl, relaxed, DFT PBE
# Formation energy in meV per atom: 1168.4
# DOS at the Fermi energy in states/eV/atom: 1.29
# Calculated volume in Å³ per cell: 267.5
# Space group: P4/mmm, No. 123
data_KSr2BeTl
_chemical_formula_sum 'K1 Sr2 Be1 Tl1'
_symmetry_space_group_name_H-M 'P 1'
_symmetry_Int_Tables_number 1
_cell_length_a 6.8178
_cell_length_b 6.8178
_cell_length_c 5.7559
_cell_angle_alpha 90.00
_cell_angle_beta 90.00
_cell_angle_gamma 90.00
loop_
_symmetry_equiv_pos_as_xyz
'x,y,z'
loop_
_atom_site_label
_atom_site_type_symbol
_atom_site_fract_x
_atom_site_fract_y
_atom_site_fract_z
K1 K 0.0000 0.0000 0.0000
Sr1 Sr 0.0000 0.5000 0.0000
Sr2 Sr 0.5000 0.0000 0.0000
Be1 Be 0.5000 0.5000 0.5000
Tl1 Tl 0.0000 0.0000 0.5000

---

Entry 2:
# KTaBe, relaxed, DFT PBE
# Formation energy in meV per atom: 543.0
# DOS at the Fermi energy in states/eV/atom: 0.38
# Calculated volume in Å³ per cell: 180.5
# Space group: P1, No. 1
# Polymorph energy (0 for the lowest one) in eV per atom: 0.1557
data_KTaBe
_chemical_formula_sum 'K2 Ta2 Be2'
_symmetry_space_group_name_H-M 'P 1'
_symmetry_Int_Tables_number 1
_cell_length_a 3.8917
_cell_length_b 3.9078
_cell_length_c 12.1630
_cell_angle_alpha 99.05
_cell_angle_beta 98.80
_cell_angle_gamma 90.00
loop_
_symmetry_equiv_pos_as_xyz
'x,y,z'
loop_
_atom_site_label
_atom_site_type_symbol
_atom_site_fract_x
_atom_site_fract_y
_atom_site_fract_z
K1 K 0.0000 0.0000 0.0000
K2 K 0.1823 0.6752 0.3481
Ta1 Ta 0.3140 0.3120 0.6282
Ta2 Ta 0.8141 0.8120 0.6281
Be1 Be 0.3773 0.8757 0.7592
Be2 Be 0.8760 0.3763 0.7591

---

Entry 3:
# KTaBe, relaxed, DFT PBE
# Formation energy in meV per atom: 596.4
# DOS at the Fermi energy in states/eV/atom: 0.95
# Calculated volume in Å³ per cell: 162.2
# Space group: P1, No. 1
# Polymorph energy (0 for the lowest one) in eV per atom: 0.2091
data_KTaBe
_chemical_formula_sum 'K2 Ta2 Be2'
_symmetry_space_group_name_H-M 'P 1'
_symmetry_Int_Tables_number 1
_cell_length_a 3.0191
_cell_length_b 4.8638
_cell_length_c 11.7646
_cell_angle_alpha 81.06
_cell_angle_beta 87.23
_cell_angle_gamma 71.92
loop_
_symmetry_equiv_pos_as_xyz
'x,y,z'
loop_
_atom_site_label
_atom_site_type_symbol
_atom_site_fract_x
_atom_site_fract_y
_atom_site_fract_z
K1 K 0.0000 0.0000 0.0000
K2 K 0.4354 0.3622 0.3595
Ta1 Ta 0.2416 0.5884 0.7724
Ta2 Ta 0.5173 0.0730 0.6815
Be1 Be 0.1562 0.8444 0.5507
Be2 Be 0.8092 0.5193 0.6023

---

Entry 4:
# KTa2Be, relaxed, DFT PBE
# Formation energy in meV per atom: 1308.3
# DOS at the Fermi energy in states/eV/atom: 0.64
# Calculated volume in Å³ per cell: 81.0
# Space group: Pmmm, No. 47
data_KTa2Be
_chemical_formula_sum 'K1 Ta2 Be1'
_symmetry_space_group_name_H-M 'P 1'
_symmetry_Int_Tables_number 1
_cell_length_a 2.6816
_cell_length_b 5.3882
_cell_length_c 5.6068
_cell_angle_alpha 90.00
_cell_angle_beta 90.00
_cell_angle_gamma 90.00
loop_
_symmetry_equiv_pos_as_xyz
'x,y,z'
loop_
_atom_site_label
_atom_site_type_symbol
_atom_site_fract_x
_atom_site_fract_y
_atom_site_fract_z
K1 K 0.0000 0.0000 0.0000
Ta1 Ta 0.0000 0.5000 0.5000
Ta2 Ta 0.5000 0.0000 0.5000
Be1 Be 0.5000 0.5000 0.0000

---

Entry 5:
# KTa2Be, relaxed, DFT PBE
# Formation energy in meV per atom: 1493.2
# DOS at the Fermi energy in states/eV/atom: 1.01
# Calculated volume in Å³ per cell: 76.1
# Space group: I-4m2, No. 119
data_KTa2Be
_chemical_formula_sum 'K1 Ta2 Be1'
_symmetry_space_group_name_H-M 'P 1'
_symmetry_Int_Tables_number 1
_cell_length_a 5.0040
_cell_length_b 5.0040
_cell_length_c 5.0040
_cell_angle_alpha 127.74
_cell_angle_beta 127.74
_cell_angle_gamma 77.05
loop_
_symmetry_equiv_pos_as_xyz
'x,y,z'
loop_
_atom_site_label
_atom_site_type_symbol
_atom_site_fract_x
_atom_site_fract_y
_atom_site_fract_z
K1 K 0.0000 0.0000 0.0000
Ta1 Ta 0.2500 0.7500 0.5000
Ta2 Ta 0.5000 0.5000 0.0000
Be1 Be 0.7500 0.2500 0.5000

---

Entry 6:
# KTa2Be, relaxed, DFT PBE
# Formation energy in meV per atom: 898.1
# DOS at the Fermi energy in states/eV/atom: 1.02
# Calculated volume in Å³ per cell: 99.1
# Space group: Cm, No. 8
data_KTa2Be
_chemical_formula_sum 'K1 Ta2 Be1'
_symmetry_space_group_name_H-M 'P 1'
_symmetry_Int_Tables_number 1
_cell_length_a 5.1780
_cell_length_b 5.1780
_cell_length_c 7.0851
_cell_angle_alpha 99.22
_cell_angle_beta 99.22
_cell_angle_gamma 31.93
loop_
_symmetry_equiv_pos_as_xyz
'x,y,z'
loop_
_atom_site_label
_atom_site_type_symbol
_atom_site_fract_x
_atom_site_fract_y
_atom_site_fract_z
K1 K 0.0000 0.0000 0.0000
Ta1 Ta 0.5439 0.5439 0.5003
Ta2 Ta 0.8030 0.8030 0.4374
Be1 Be 0.2272 0.2272 0.6948

---

Entry 7:
# K2TaBe, relaxed, DFT PBE
# Formation energy in meV per atom: 1356.4
# DOS at the Fermi energy in states/eV/atom: 0.69
# Calculated volume in Å³ per cell: 97.8
# Space group: Cmmm, No. 65
data_K2TaBe
_chemical_formula_sum 'K2 Ta1 Be1'
_symmetry_space_group_name_H-M 'P 1'
_symmetry_Int_Tables_number 1
_cell_length_a 2.9256
_cell_length_b 2.9256
_cell_length_c 12.3115
_cell_angle_alpha 90.00
_cell_angle_beta 90.00
_cell_angle_gamma 111.84
loop_
_symmetry_equiv_pos_as_xyz
'x,y,z'
loop_
_atom_site_label
_atom_site_type_symbol
_atom_site_fract_x
_atom_site_fract_y
_atom_site_fract_z
K1 K 0.0000 0.0000 0.2350
K2 K 0.0000 0.0000 0.7650
Ta1 Ta 0.5000 0.5000 0.5000
Be1 Be 0.5000 0.5000 0.0000

---

Entry 8:
# K4TaBe, relaxed, DFT PBE
# Formation energy in meV per atom: 1577.3
# DOS at the Fermi energy in states/eV/atom: 1.00
# Calculated volume in Å³ per cell: 244.3
# Space group: F-43m, No. 216
data_K4TaBe
_chemical_formula_sum 'K4 Ta1 Be1'
_symmetry_space_group_name_H-M 'P 1'
_symmetry_Int_Tables_number 1
_cell_length_a 7.0167
_cell_length_b 7.0167
_cell_length_c 7.0167
_cell_angle_alpha 60.00
_cell_angle_beta 60.00
_cell_angle_gamma 60.00
loop_
_symmetry_equiv_pos_as_xyz
'x,y,z'
loop_
_atom_site_label
_atom_site_type_symbol
_atom_site_fract_x
_atom_site_fract_y
_atom_site_fract_z
K1 K 0.1247 0.1247 0.1247
K2 K 0.1247 0.1247 0.6258
K3 K 0.1247 0.6258 0.1247
K4 K 0.6258 0.1247 0.1247
Ta1 Ta 0.7500 0.7500 0.7500
Be1 Be 0.5000 0.5000 0.5000